# 1
{
  "formula": "Mg3ScAu",
  "functional": "PBE",
  "state": "optimized geometry",
  "delta_e_f_ev_per_atom": 1.0602,
  "m_tot_mub_per_fu": 0.00,
  "n_ef_per_ev_atom": 1.252,
  "vol_a3_per_atom": 35.27,
  "lattice_angstrom": [[5.608, 0.000, 0.000], [0.000, 5.608, 0.000], [0.000, 0.000, 5.608]],
  "species": ["Mg", "Mg", "Mg", "Sc", "Au"],
  "frac_coords": [[0.000, 0.000, 0.500], [0.000, 0.500, 0.000], [0.500, 0.000, 0.000], [0.000, 0.000, 0.000], [0.500, 0.500, 0.500]]
}

# 2
{
  "formula": "Mg4Sc5Au",
  "functional": "PBE",
  "state": "optimized geometry",
  "delta_e_f_ev_per_atom": -0.1999,
  "m_tot_mub_per_fu": 0.00,
  "n_ef_per_ev_atom": 1.104,
  "vol_a3_per_atom": 22.30,
  "lattice_angstrom": [[3.550, 0.000, 0.000], [0.000, 3.550, 0.000], [0.000, 0.000, 17.688]],
  "species": ["Mg", "Mg", "Mg", "Mg", "Sc", "Sc", "Sc", "Sc", "Sc", "Au"],
  "frac_coords": [[0.000, 0.000, 0.103], [0.000, 0.000, 0.307], [0.000, 0.000, 0.693], [0.000, 0.000, 0.897], [0.500, 0.500, 0.000], [0.500, 0.500, 0.208], [0.500, 0.500, 0.410], [0.500, 0.500, 0.590], [0.500, 0.500, 0.792], [0.000, 0.000, 0.500]]
}

# 3
{
  "formula": "MgSc5Au",
  "functional": "PBE",
  "state": "optimized geometry",
  "delta_e_f_ev_per_atom": 0.0376,
  "m_tot_mub_per_fu": 0.00,
  "n_ef_per_ev_atom": 1.389,
  "vol_a3_per_atom": 25.41,
  "lattice_angstrom": [[4.133, -4.351, 0.000], [4.133, 4.351, 0.000], [-4.071, 0.000, 9.891]],
  "species": ["Mg", "Mg", "Sc", "Sc", "Sc", "Sc", "Sc", "Sc", "Sc", "Sc", "Sc", "Sc", "Au", "Au"],
  "frac_coords": [[0.059, 0.941, 0.750], [0.941, 0.059, 0.250], [0.129, 0.593, 0.296], [0.229, 0.379, 0.983], [0.379, 0.229, 0.483], [0.403, 0.597, 0.750], [0.407, 0.871, 0.204], [0.593, 0.129, 0.796], [0.597, 0.403, 0.250], [0.621, 0.771, 0.517], [0.771, 0.621, 0.017], [0.871, 0.407, 0.704], [0.000, 0.500, 0.500], [0.500, 0.000, 0.000]]
}

Uncorrected energy readings, ordered: -9.1, -43.3, -72.5 eV for the cell shown